Density functional theory data (PBE) for a relaxed structure of Rb2LiTlI4.

abc: 9.9698 9.9698 10.0071
angles: 120.01 120.01 89.55
Sites, in units of the cell vectors:
Rb  0.0000  0.0000  0.0000
Rb  0.0000  0.0000  0.5000
Rb  0.0000  0.5000  0.0000
Rb  0.5000  0.0000  0.5000
Li  0.0000  0.5000  0.5000
Li  0.5000  0.0000  0.0000
Tl  0.5000  0.5000  0.0000
Tl  0.5000  0.5000  0.5000
I  0.2251  0.2882  0.5067
I  0.2508  0.7445  0.5238
I  0.2555  0.7492  0.9762
I  0.2882  0.2251  0.0067
I  0.7118  0.7749  0.9933
I  0.7445  0.2508  0.0238
I  0.7492  0.2555  0.4762
I  0.7749  0.7118  0.4933

Properties
magnetization = 0.00 μB per formula unit
raw total energy = -2.715 eV/atom
space-group type = C2/c
V = 44.1 A^3/atom
energy relative to the elements, uncorrected = -1.163 eV/atom

---

Density functional theory data (PBE) for a relaxed structure of Dy5Tl.

abc: 7.9431 7.9431 4.8588
angles: 90.00 90.00 144.36
Sites, in units of the cell vectors:
Dy  0.0000  0.0000  0.0000
Dy  0.1625  0.8375  0.5000
Dy  0.3311  0.6689  0.0000
Dy  0.6689  0.3311  0.0000
Dy  0.8375  0.1625  0.5000
Tl  0.5000  0.5000  0.5000

Properties
magnetization = 0.00 μB per formula unit
raw total energy = -4.337 eV/atom
space-group type = Cmmm
relative energy among the computed polymorphs = 0.000 eV/atom
V = 29.8 A^3/atom

---

Density functional theory data (PBE) for a relaxed structure of ErTh2Al2.

abc: 7.8613 7.8613 4.4575
angles: 90.00 90.00 90.00
Sites, in units of the cell vectors:
Er  0.0000  0.0000  0.0000
Er  0.5000  0.5000  0.0000
Th  0.1742  0.3258  0.5000
Th  0.3258  0.8258  0.5000
Th  0.6742  0.1742  0.5000
Th  0.8258  0.6742  0.5000
Al  0.1202  0.6202  0.0000
Al  0.3798  0.1202  0.0000
Al  0.6202  0.8798  0.0000
Al  0.8798  0.3798  0.0000

Properties
magnetization = 0.00 μB per formula unit
raw total energy = -5.652 eV/atom
space-group type = P4/mbm
V = 27.5 A^3/atom

---

Among the records above, which one has the highest V? Rb2LiTlI4